The following is a PBE-GGA calculation of a relaxed structure of CsPm2ReO8, from Alexandria via LeMat-Bulk.

Output
Total moment in μB per atom: 0.00
Space-group type: P-1 (2)
ΔE_f (raw) in eV/atom: -2.17
Electronic total energy in eV/atom: -7.380
Density in g/cm³: 6.418

Geometry as POSCAR:
```
CsPm2ReO8
1.0
4.8747 0.0000 0.0000
-0.1271 4.8835 0.0000
-0.6070 -0.6070 8.0109
Cs Pm Re O
1 2 1 8
direct
0.0000 0.0000 0.0000
0.4516 0.4526 0.7138
0.5484 0.5474 0.2862
0.0000 0.0000 0.5000
0.1230 0.7496 0.3310
0.2502 0.8772 0.6698
0.2698 0.2688 0.4537
0.3885 0.3909 0.9978
0.6115 0.6091 0.0022
0.7302 0.7312 0.5463
0.7498 0.1228 0.3302
0.8770 0.2504 0.6690
```

The following is a PBE-GGA calculation of a relaxed structure of TlSb2Pb, from Alexandria via LeMat-Bulk.

Output
Total moment in μB per atom: 0.00
D(E_F) in states/eV per cell: 2.6
Space-group type: R-3m (166)
ΔE_f (raw) in eV/atom: 0.13
Electronic total energy in eV/atom: -3.446
Density in g/cm³: 9.112

Geometry as POSCAR:
```
TlSb2Pb
1.0
1.7541 1.0127 11.2013
-1.7541 1.0127 11.2013
0.0000 -2.0255 11.2013
Tl Sb Pb
1 2 1
direct
0.0000 0.0000 0.0000
0.2484 0.2484 0.2484
0.7516 0.7516 0.7516
0.5000 0.5000 0.5000
```

The following is a PBE-GGA calculation of a relaxed structure of BeTl2Cr, from Alexandria via LeMat-Bulk.

Output
Total moment in μB per atom: 0.80
D(E_F) in states/eV per cell: 2.5
Space-group type: I-4m2 (119)
Electronic total energy in eV/atom: -3.769
Density in g/cm³: 10.072
Calculated formation energy in eV/atom: 0.75
E above lowest polymorph in meV/atom: 223

Geometry as POSCAR:
```
BeTl2Cr
1.0
-2.0517 2.0517 4.5996
2.0517 -2.0517 4.5996
2.0517 2.0517 -4.5996
Be Tl Cr
1 2 1
direct
0.0000 0.0000 0.0000
0.5000 0.5000 0.0000
0.7500 0.2500 0.5000
0.2500 0.7500 0.5000
```

The following is a PBE-GGA calculation of a relaxed structure of KCo2Br5, from Alexandria via LeMat-Bulk.

Output
Total moment in μB per atom: 0.75
D(E_F) in states/eV per cell: 13.8
Space-group type: Cmcm (63)
ΔE_f (raw) in eV/atom: -0.53
Electronic total energy in eV/atom: -3.493
Density in g/cm³: 3.181

Geometry as POSCAR:
```
KCo2Br5
1.0
2.7776 -8.7790 0.0000
2.7776 8.7790 0.0000
0.0000 0.0000 11.9119
K Co Br
2 4 10
direct
0.0736 0.9264 0.7500
0.9264 0.0736 0.2500
0.2150 0.7850 0.0925
0.2150 0.7850 0.4075
0.7850 0.2150 0.5925
0.7850 0.2150 0.9075
0.0823 0.9177 0.0828
0.0823 0.9177 0.4172
0.2767 0.7233 0.5855
0.2767 0.7233 0.9145
0.3078 0.6922 0.2500
0.6922 0.3078 0.7500
0.7233 0.2767 0.0855
0.7233 0.2767 0.4145
0.9177 0.0823 0.5828
0.9177 0.0823 0.9172
```

The following is a PBE-GGA calculation of a relaxed structure of Tc2Ni2Au, from Alexandria via LeMat-Bulk.

Output
Total moment in μB per atom: 0.00
D(E_F) in states/eV per cell: 6.3
Space-group type: I4/mmm (139)
Electronic total energy in eV/atom: -6.622
Density in g/cm³: 11.217
Calculated formation energy in eV/atom: 0.49
E above lowest polymorph in meV/atom: 239

Geometry as POSCAR:
```
Tc2Ni2Au
1.0
-1.8435 1.8435 5.5576
1.8435 -1.8435 5.5576
1.8435 1.8435 -5.5576
Tc Ni Au
2 2 1
direct
0.1023 0.1023 0.0000
0.8977 0.8977 0.0000
0.2500 0.7500 0.5000
0.7500 0.2500 0.5000
0.5000 0.5000 0.0000
```

The following is a PBE-GGA calculation of a relaxed structure of YEr2Cd, from Alexandria via LeMat-Bulk.

Output
Total moment in μB per atom: 0.00
D(E_F) in states/eV per cell: 4.9
Space-group type: P4/mmm (123)
Electronic total energy in eV/atom: -4.271
Density in g/cm³: 7.745
Calculated formation energy in eV/atom: -0.14
E above lowest polymorph in meV/atom: 14

Geometry as POSCAR:
```
YEr2Cd
1.0
3.5691 0.0000 0.0000
0.0000 3.5691 0.0000
0.0000 0.0000 9.0189
Y Er Cd
1 2 1
direct
0.0000 0.0000 0.0000
0.5000 0.5000 0.2745
0.5000 0.5000 0.7255
0.0000 0.0000 0.5000
```

The following is a PBE-GGA calculation of a relaxed structure of TmIr2O8, from Alexandria via LeMat-Bulk.

Output
Total moment in μB per atom: 0.01
D(E_F) in states/eV per cell: 4.5
Space-group type: P2/m (10)
ΔE_f (raw) in eV/atom: -1.02
Electronic total energy in eV/atom: -6.642
Density in g/cm³: 9.160

Geometry as POSCAR:
```
TmIr2O8
1.0
5.2954 0.0000 0.0000
0.0000 3.8921 0.0000
-1.4233 0.0000 5.9932
Tm Ir O
1 2 8
direct
0.0000 0.0000 0.0000
0.4978 0.5000 0.7476
0.5022 0.5000 0.2524
0.0447 0.0000 0.4125
0.2300 0.5000 0.9441
0.2695 0.5000 0.4530
0.4349 0.0000 0.2021
0.5651 0.0000 0.7979
0.7305 0.5000 0.5470
0.7700 0.5000 0.0559
0.9553 0.0000 0.5875
```

The following is a PBE-GGA calculation of a relaxed structure of PmFeB2Os, from Alexandria via LeMat-Bulk.

Output
Total moment in μB per atom: 0.22
D(E_F) in states/eV per cell: 2.8
Space-group type: I-4m2 (119)
Electronic total energy in eV/atom: -7.944
Density in g/cm³: 9.533
Calculated formation energy in eV/atom: -0.38

Geometry as POSCAR:
```
PmFeB2Os
1.0
-1.8983 1.8983 4.9870
1.8983 -1.8983 4.9870
1.8983 1.8983 -4.9870
Pm Fe B Os
1 1 2 1
direct
0.0000 0.0000 0.0000
0.7500 0.2500 0.5000
0.3353 0.3353 0.0000
0.6647 0.6647 0.0000
0.2500 0.7500 0.5000
```